# 1
The following is a PBE-GGA calculation of an optimized crystal structure of CeMnOs, from the Alexandria database.

Output
distance to the lowest polymorph of the same formula: 229 meV/atom
space-group type: No. 156
formation enthalpy at 0 K: 72.2 meV/atom
theoretical density: 10917 kg/m³

Lattice parameters (Å, degrees): 4.380 3.931 3.931 120.00 90.00 90.00
Atoms (fractional coordinates):
Mn  0.224  0.333  0.667
Os  0.112  0.000  0.000
Ce  0.664  0.667  0.333

# 2
The following is a PBE-GGA calculation of an optimized crystal structure of Ce2MnOs3, from the Alexandria database.

Output
distance to the lowest polymorph of the same formula: 10 meV/atom
space-group type: No. 194
formation enthalpy at 0 K: -207.2 meV/atom
theoretical density: 13906 kg/m³

Lattice parameters (Å, degrees): 5.427 5.427 8.480 90.00 90.00 120.00
Each line ends with the local moment (μB).
Atoms (fractional coordinates):
Ce  0.667  0.333  0.425  -0.27
Ce  0.333  0.667  0.575  -0.27
Ce  0.333  0.667  0.925  -0.27
Ce  0.667  0.333  0.075  -0.27
Mn  0.000  0.000  0.500  2.51
Mn  0.000  0.000  0.000  2.51
Os  0.169  0.338  0.250  -0.10
Os  0.338  0.169  0.750  -0.10
Os  0.831  0.662  0.750  -0.10
Os  0.169  0.831  0.250  -0.10
Os  0.831  0.169  0.750  -0.10
Os  0.662  0.831  0.250  -0.10

# 3
The following is a PBE-GGA calculation of an optimized crystal structure of Ce2MnOs3, from the Alexandria database.

Output
distance to the lowest polymorph of the same formula: 0 meV/atom
space-group type: No. 12
formation enthalpy at 0 K: -217.1 meV/atom
theoretical density: 13881 kg/m³

Lattice parameters (Å, degrees): 5.423 5.423 5.279 90.16 120.88 119.85
Each line ends with the local moment (μB).
Atoms (fractional coordinates):
Ce  0.756  0.378  0.134  -0.32
Ce  0.244  0.622  0.866  -0.32
Mn  0.000  0.000  0.000  2.62
Os  0.500  0.500  0.500  -0.08
Os  0.000  0.000  0.500  -0.08
Os  0.500  0.000  0.500  -0.08

# 4
The following is a PBE-GGA calculation of an optimized crystal structure of Ce2MnOs, from the Alexandria database.

Output
distance to the lowest polymorph of the same formula: 0 meV/atom
space-group type: No. 123
formation enthalpy at 0 K: 83.1 meV/atom
theoretical density: 10486 kg/m³

Lattice parameters (Å, degrees): 3.332 4.997 4.997 90.00 90.00 90.00
Each line ends with the local moment (μB).
Atoms (fractional coordinates):
Mn  0.500  0.500  0.500  2.86
Os  0.500  0.000  0.000  0.20
Ce  0.000  0.000  0.500  -0.56
Ce  0.000  0.500  0.000  -0.56

# 5
The following is a PBE-GGA calculation of an optimized crystal structure of Ce2MnP4Os3, from the Alexandria database.

Output
space-group type: No. 115
formation enthalpy at 0 K: -769.3 meV/atom
theoretical density: 10495 kg/m³

Lattice parameters (Å, degrees): 4.141 4.141 9.500 90.00 90.00 90.00
Each line ends with the local moment (μB).
Atoms (fractional coordinates):
Ce  0.500  0.000  0.244  0.15
Ce  0.000  0.500  0.756  0.15
Mn  0.500  0.500  0.500  1.80
P  0.500  0.500  0.000  0.01
P  0.000  0.000  0.000  0.00
P  0.500  0.000  0.629  -0.04
P  0.000  0.500  0.371  -0.04
Os  0.000  0.000  0.500  -0.05
Os  0.500  0.000  0.880  0.01
Os  0.000  0.500  0.120  0.01

# 6
The following is a PBE-GGA calculation of an optimized crystal structure of CePuMnOs, from the Alexandria database.

Output
space-group type: No. 216
formation enthalpy at 0 K: 23.1 meV/atom
theoretical density: 13043 kg/m³

Lattice parameters (Å, degrees): 4.839 4.839 4.839 60.00 60.00 60.00
Each line ends with the local moment (μB).
Atoms (fractional coordinates):
Mn  0.000  0.000  0.000  -3.03
Os  0.500  0.500  0.500  -0.49
Ce  0.250  0.250  0.250  0.55
Pu  0.750  0.750  0.750  5.11

# 7
The following is a PBE-GGA calculation of an optimized crystal structure of CeScMnOs, from the Alexandria database.

Output
space-group type: No. 216
formation enthalpy at 0 K: -84.3 meV/atom
theoretical density: 9494 kg/m³

Lattice parameters (Å, degrees): 4.739 4.739 4.739 60.00 60.00 60.00
Each line ends with the local moment (μB).
Atoms (fractional coordinates):
Sc  0.750  0.750  0.750  -0.16
Mn  0.000  0.000  0.000  2.93
Os  0.500  0.500  0.500  0.20
Ce  0.250  0.250  0.250  -0.48

# 8
The following is a PBE-GGA calculation of an optimized crystal structure of CeMnSi3Os, from the Alexandria database.

Output
space-group type: No. 63
raw formation energy: -1.900 eV per formula unit
theoretical density: 7130 kg/m³

Lattice parameters (Å, degrees): 5.536 7.417 6.490 124.85 90.00 90.00
Each line ends with the local moment (μB).
Atoms (fractional coordinates):
Ce  0.750  0.243  0.487  0.68
Ce  0.250  0.757  0.513  0.68
Mn  0.250  0.042  0.085  -0.05
Mn  0.750  0.958  0.915  -0.05
Si  0.250  0.241  0.482  0.01
Si  0.000  0.240  0.000  0.00
Si  0.500  0.760  0.000  0.00
Si  0.500  0.240  0.000  0.00
Si  0.000  0.760  0.000  0.00
Si  0.750  0.759  0.518  0.01
Os  0.250  0.451  0.902  -0.01
Os  0.750  0.549  0.098  -0.01

Number 1: total magnetic moment 0.0 μB/f.u.. Number 2: total magnetic moment 1.6 μB/f.u.. Number 3: total magnetic moment 1.6 μB/f.u.. Number 4: total magnetic moment 1.7 μB/f.u.. Number 5: total magnetic moment 2.2 μB/f.u.. Number 6: total magnetic moment 2.4 μB/f.u.. Number 7: total magnetic moment 2.4 μB/f.u.. Number 8: total magnetic moment 0.7 μB/f.u..